A plane-wave DFT calculation with GGA-PBE was carried out for a geometry-optimized Ho4Er3Th4 structure.

Computed properties:
final energy	-5.42	eV per atom
ΔE_f	2.0	eV/f.u.

Cell: 5.5292 6.6094 10.6582 Å, 90.00 90.00 114.73°
Positions (direct):
Th 0.6233 0.2467 0.5000
Er 0.4008 0.8017 0.7042
Er 0.4008 0.8017 0.2958
Ho 0.7578 0.5157 0.7858
Ho 0.7578 0.5157 0.2142
Th 0.5566 0.1132 0.0000
Ho 0.9059 0.8118 0.5000
Th 0.0969 0.1938 0.2820
Th 0.0969 0.1938 0.7180
Er 0.2552 0.5105 0.0000
Ho 0.9462 0.8924 0.0000

---

A plane-wave DFT calculation with GGA-PBE was carried out for a geometry-optimized Ho2Er12Th structure.

Computed properties:
final energy	-4.40	eV per atom
ΔE_f	5.3	eV/f.u.

Cell: 6.3334 6.3334 24.7172 Å, 90.00 90.00 90.00°
Positions (direct):
Er 0.8310 0.3310 0.5607
Er 0.8310 0.6690 0.4393
Er 0.8128 0.6872 0.1146
Er 0.5000 0.5000 0.2150
Er 0.5000 0.5000 0.3400
Er 0.6872 0.8128 0.8854
Ho 0.5000 0.0000 0.2757
Er 0.0000 0.0000 0.6600
Er 0.8128 0.3128 0.8854
Er 0.5000 0.5000 0.6600
Er 0.0000 0.0000 0.2150
Er 0.0000 0.0000 0.3400
Er 0.3310 0.8310 0.4393
Er 0.6690 0.8310 0.5607
Er 0.5000 0.5000 0.7850
Er 0.1872 0.3128 0.1146
Er 0.3128 0.8128 0.1146
Er 0.0000 0.0000 0.7850
Th 0.0000 0.5000 0.0000
Er 0.3310 0.1690 0.5607
Er 0.3128 0.1872 0.8854
Th 0.5000 0.0000 0.0000
Er 0.1690 0.3310 0.4393
Ho 0.5000 0.0000 0.7243
Er 0.1690 0.6690 0.5607
Er 0.6872 0.1872 0.1146
Ho 0.0000 0.5000 0.2757
Er 0.1872 0.6872 0.8854
Ho 0.0000 0.5000 0.7243
Er 0.6690 0.1690 0.4393

---

A plane-wave DFT calculation with GGA-PBE was carried out for a geometry-optimized HoEr12Th3 structure.

Computed properties:
final energy	-5.07	eV per atom
ΔE_f	0.5	eV/f.u.

Cell: 4.9889 4.9889 19.8606 Å, 90.00 90.00 90.00°
Positions (direct):
Th 0.0000 0.0000 0.5000
Er 0.5000 0.5000 0.5000
Er 0.0000 0.5000 0.3751
Th 0.0000 0.0000 0.7493
Ho 0.0000 0.0000 0.0000
Er 0.5000 0.5000 0.2496
Er 0.5000 0.0000 0.3751
Er 0.5000 0.5000 0.7504
Er 0.0000 0.5000 0.8742
Er 0.0000 0.5000 0.1258
Er 0.5000 0.5000 0.0000
Er 0.0000 0.5000 0.6249
Er 0.5000 0.0000 0.8742
Th 0.0000 0.0000 0.2507
Er 0.5000 0.0000 0.1258
Er 0.5000 0.0000 0.6249

---

A plane-wave DFT calculation with GGA-PBE was carried out for a geometry-optimized Ho2ErTh structure.

Computed properties:
final energy	-5.25	eV per atom
ΔE_f	0.2	eV/f.u.
energy relative to the lowest polymorph listed for this composition	12	meV per atom

Cell: 5.0028 4.9913 4.9913 Å, 90.00 90.00 90.00°
Positions (direct):
Ho 0.0000 0.0000 0.5000
Er 0.5000 0.5000 0.5000
Th 0.5000 0.0000 0.0000
Ho 0.0000 0.5000 0.0000

---

A plane-wave DFT calculation with GGA-PBE was carried out for a geometry-optimized Ho12Er2Th5 structure.

Computed properties:
final energy	-5.11	eV per atom
ΔE_f	4.1	eV/f.u.
energy relative to the lowest polymorph listed for this composition	62	meV per atom

Cell: 7.0243 9.9444 10.1692 Å, 68.28 90.00 110.68°
Positions (direct):
Ho 0.0277 0.0554 0.7627
Th 0.1857 0.3713 0.8202
Ho 0.0817 0.6664 0.5167
Th 0.8143 0.6287 0.1798
Ho 0.4154 0.3336 0.4833
Th 0.6779 0.3558 0.7913
Ho 0.4034 0.3146 0.1374
Ho 0.5047 0.0093 0.6772
Ho 0.9111 0.3146 0.1374
Th 0.0000 0.0000 0.5000
Ho 0.9183 0.3336 0.4833
Ho 0.5846 0.6664 0.5167
Ho 0.4953 0.9907 0.3228
Ho 0.5966 0.6854 0.8626
Th 0.3221 0.6442 0.2087
Er 0.2839 0.0000 0.0000
Ho 0.9723 0.9446 0.2373
Er 0.7161 0.0000 0.0000
Ho 0.0889 0.6854 0.8626

---

A plane-wave DFT calculation with GGA-PBE was carried out for a geometry-optimized HoEr6Th2 structure.

Computed properties:
final energy	-5.13	eV per atom
ΔE_f	0.6	eV/f.u.
energy relative to the lowest polymorph listed for this composition	0	meV per atom

Cell: 3.5434 3.5434 26.0433 Å, 90.00 90.00 120.00°
Positions (direct):
Er 0.3333 0.6667 0.4365
Er 0.3333 0.6667 0.5635
Th 0.6667 0.3333 0.6717
Th 0.6667 0.3333 0.3283
Er 0.3333 0.6667 0.2156
Er 0.6667 0.3333 0.1084
Er 0.6667 0.3333 0.8916
Er 0.3333 0.6667 0.7844
Ho 0.3333 0.6667 0.0000

---

A plane-wave DFT calculation with GGA-PBE was carried out for a geometry-optimized Ho4Er5Th3 structure.

Computed properties:
final energy	-4.91	eV per atom
ΔE_f	4.4	eV/f.u.

Cell: 5.6833 9.2375 9.7529 Å, 114.36 73.06 72.08°
Positions (direct):
Th 0.0000 0.5000 0.5000
Er 0.5000 0.5000 0.5000
Ho 0.1606 0.8794 0.7994
Ho 0.0621 0.7221 0.1537
Er 0.3524 0.2433 0.0518
Er 0.7323 0.9330 0.6023
Er 0.2677 0.0670 0.3977
Ho 0.9379 0.2779 0.8463
Th 0.4502 0.3678 0.7319
Th 0.5498 0.6322 0.2681
Er 0.6476 0.7567 0.9482
Ho 0.8394 0.1206 0.2006

---

A plane-wave DFT calculation with GGA-PBE was carried out for a geometry-optimized Ho4Er3Th structure.

Computed properties:
final energy	-4.75	eV per atom
ΔE_f	1.4	eV/f.u.
energy relative to the lowest polymorph listed for this composition	158	meV per atom

Cell: 3.4344 6.6521 11.7269 Å, 106.46 98.42 90.00°
Positions (direct):
Ho 0.1242 0.3656 0.2483
Th 0.5000 0.0000 0.0000
Er 0.0000 0.5000 0.0000
Ho 0.8758 0.6344 0.7517
Ho 0.2592 0.7604 0.5184
Er 0.8758 0.1164 0.7516
Ho 0.7408 0.2396 0.4816
Er 0.1242 0.8836 0.2484

---

A plane-wave DFT calculation with GGA-PBE was carried out for a geometry-optimized Ho3Er2Th2 structure.

Computed properties:
final energy	-5.25	eV per atom
ΔE_f	1.0	eV/f.u.
energy relative to the lowest polymorph listed for this composition	105	meV per atom

Cell: 3.4323 8.5321 8.8868 Å, 119.16 101.13 90.00°
Positions (direct):
Ho 0.2152 0.7998 0.4305
Th 0.1507 0.3428 0.3015
Er 0.4366 0.0944 0.8732
Ho 0.0000 0.5000 0.0000
Er 0.5634 0.9056 0.1268
Th 0.8493 0.6572 0.6985
Ho 0.7848 0.2002 0.5695

---

A plane-wave DFT calculation with GGA-PBE was carried out for a geometry-optimized Ho3Er2Th2 structure.

Computed properties:
final energy	-5.35	eV per atom
ΔE_f	0.2	eV/f.u.
energy relative to the lowest polymorph listed for this composition	0	meV per atom

Cell: 3.5500 13.6505 6.1172 Å, 53.44 73.13 67.02°
Positions (direct):
Th 0.7148 0.7166 0.4210
Th 0.2852 0.2834 0.5790
Ho 0.4295 0.4289 0.8553
Ho 0.0000 0.0000 0.0000
Ho 0.5705 0.5711 0.1447
Er 0.8612 0.8538 0.7160
Er 0.1388 0.1462 0.2840